Below is a geometry-optimized La2Be3Pt12Rh structure, with properties calculated at the PBE-GGA level.

abc: 7.7560 7.7560 7.7560
angles: 61.29 61.29 61.29
With the nearest neighbours (Å) after each atom.
Fractional positions:
La 0.1126 0.1126 0.1126  6 Pt 2.88-2.89
La 0.8874 0.8874 0.8874  6 Pt 2.88-2.89
Be 0.0000 0.5000 0.5000  6 Pt 2.28-2.29
Be 0.5000 0.0000 0.5000  6 Pt 2.28-2.29
Be 0.5000 0.5000 0.0000  6 Pt 2.28-2.29
Pt 0.1083 0.6274 0.6274  1 Be 2.28, 1 Rh 2.52
Pt 0.1463 0.1463 0.6058  2 Be 2.29
Pt 0.1463 0.6058 0.1463  2 Be 2.29
Pt 0.3726 0.3726 0.8917  1 Be 2.28, 1 Rh 2.52
Pt 0.3726 0.8917 0.3726  1 Be 2.28, 1 Rh 2.52
Pt 0.3942 0.8537 0.8537  2 Be 2.29
Pt 0.6058 0.1463 0.1463  2 Be 2.29
Pt 0.6274 0.1083 0.6274  1 Be 2.28, 1 Rh 2.52
Pt 0.6274 0.6274 0.1083  1 Be 2.28, 1 Rh 2.52
Pt 0.8537 0.3942 0.8537  2 Be 2.29
Pt 0.8537 0.8537 0.3942  2 Be 2.29
Pt 0.8917 0.3726 0.3726  1 Be 2.28, 1 Rh 2.52
Rh 0.5000 0.5000 0.5000  6 Pt 2.52

Calculated values
V   339.47 Å³ per cell
Magnetic moment   0.00 μB/atom
E   -5.942 eV/atom